Here is crystalline Ba3LiRe2O9 at its relaxed geometry from Alexandria. Energies are from PBE.

Formation energy from raw total energies = -2234 meV per atom
Calculated volume = 206.4 Å³ per cell

Cell: 5.782 5.782 7.131 Å, 90.00 90.00 120.00°
Fractional positions:
Ba 0.333 0.667 0.652
Ba 0.000 0.000 0.000
Ba 0.667 0.333 0.348
Li 0.000 0.000 0.500
Re 0.333 0.667 0.164
Re 0.667 0.333 0.836
O 0.824 0.176 0.685
O 0.824 0.647 0.685
O 0.353 0.176 0.685
O 0.647 0.824 0.315
O 0.176 0.353 0.315
O 0.176 0.824 0.315
O 0.500 0.000 0.000
O 0.000 0.500 0.000
O 0.500 0.500 0.000

---

Here is crystalline Sm6Y2Ho3Pu at its relaxed geometry from Alexandria. Energies are from PBE.

Calculated volume = 386.8 Å³ per cell
Energy of formation = 0.56 eV per formula unit

Cell: 6.207 6.207 11.777 Å, 95.05 95.05 120.01°
Each line ends with the local moment (μB).
Fractional positions:
Sm 0.917 0.588 0.750  0.03
Sm 0.754 0.754 0.249  0.02
Sm 0.083 0.412 0.250  0.03
Sm 0.588 0.917 0.750  0.03
Sm 0.246 0.246 0.751  0.02
Sm 0.412 0.083 0.250  0.03
Y 0.333 0.667 0.000  0.11
Y 0.667 0.333 0.000  0.11
Ho 0.167 0.833 0.500  -0.05
Ho 0.833 0.167 0.500  -0.05
Ho 0.500 0.500 0.500  -0.05
Pu 0.000 0.000 0.000  5.61

---

DOS(E_F) (states/eV per atom)
0.418 1.915
Raw total energy (eV per atom)
-7.3809 -5.7291